The following is a GGA-PBE calculation of a relaxed LiCu2Ni crystal, from Alexandria.

```
4
Lattice="4.032 0.000 0.000 2.016 3.492 0.000 2.016 1.164 3.292" Properties=species:S:1:pos:R:3 pbc="T T T"
Ni 2.016 1.164 0.823
Cu 0.000 0.000 0.000
Cu 6.048 3.492 2.469
Li 4.032 2.328 1.646
```

Calculated values
- Formation energy: 0.1 eV/f.u.
- Symmetry: F-43m, No. 216
- Total magnetic moment: 0.0 μB per formula unit
- Distance to the lowest polymorph of the same formula: 24.4 kJ/mol of formula units